Compound: Pr7Nd2Dy2
Source: the Alexandria database
Functional: GGA-PBE
Structure: relaxed

Unit cell a=8.4303 b=7.0439 c=7.0439 alpha=104.10 beta=81.40 gamma=81.40
Closest atoms and distances in Å follow each position.
Element x y z (fractional)
Dy 0.5000 0.2867 0.7133  8 Pr 3.43-3.63, 2 Nd 3.53
Pr 0.8294 0.4891 0.9079  2 Pr 3.34-3.70, 2 Nd 3.37-3.71, 2 Dy 3.43-3.60
Pr 0.1706 0.0921 0.5109  2 Pr 3.34-3.70, 2 Nd 3.37-3.71, 2 Dy 3.43-3.60
Pr 0.8294 0.9079 0.4891  2 Pr 3.34-3.70, 2 Nd 3.37-3.71, 2 Dy 3.43-3.60
Pr 0.5215 0.1954 0.1954  3 Pr 3.49-3.70, 4 Dy 3.52-3.63, 2 Nd 3.53-3.84
Pr 0.0000 0.0000 0.0000  2 Nd 3.58, 6 Pr 3.77-3.98
Nd 0.8196 0.4195 0.4195  8 Pr 3.37-3.74, 2 Dy 3.53, 1 Nd 3.64
Nd 0.1804 0.5805 0.5805  8 Pr 3.37-3.74, 2 Dy 3.53, 1 Nd 3.64
Dy 0.5000 0.7133 0.2867  8 Pr 3.43-3.63, 2 Nd 3.53
Pr 0.1706 0.5109 0.0921  2 Pr 3.34-3.70, 2 Nd 3.37-3.71, 2 Dy 3.43-3.60
Pr 0.4785 0.8046 0.8046  3 Pr 3.49-3.70, 4 Dy 3.52-3.63, 2 Nd 3.53-3.84

* energy of formation: 135.1 kJ/mol of formula units
* E: -50.8 eV for the cell shown
* distance to the lowest polymorph of the same formula: 0.0 meV per atom

Compound: Pr5Nd2Dy4
Source: the Alexandria database
Functional: GGA-PBE
Structure: relaxed

Unit cell a=3.5680 b=9.2842 c=12.8743 alpha=111.14 beta=97.97 gamma=90.00
Closest atoms and distances in Å follow each position.
Element x y z (fractional)
Pr 0.8557 0.6563 0.7113  1 Nd 3.48, 3 Dy 3.50-3.59, 3 Pr 3.57-3.70
Nd 0.2687 0.2687 0.5373  1 Dy 3.21, 2 Pr 3.48, 2 Nd 3.57
Pr 0.5000 0.0000 0.0000  4 Dy 3.41, 2 Pr 3.57
Dy 0.0000 0.3135 0.0000  7 Dy 3.38-3.57, 4 Pr 3.41-3.59
Pr 0.1443 0.3437 0.2887  1 Nd 3.48, 3 Dy 3.50-3.59, 3 Pr 3.57-3.70
Dy 0.5962 0.5962 0.1923  1 Nd 3.21, 6 Dy 3.38-3.57, 4 Pr 3.50
Pr 0.8557 0.0550 0.7113  1 Nd 3.48, 3 Dy 3.50-3.59, 3 Pr 3.57-3.70
Nd 0.7313 0.7313 0.4627  1 Dy 3.21, 2 Pr 3.48, 2 Nd 3.57
Dy 0.4038 0.4038 0.8077  1 Nd 3.21, 6 Dy 3.38-3.57, 4 Pr 3.50
Dy 0.0000 0.6865 0.0000  7 Dy 3.38-3.57, 4 Pr 3.41-3.59
Pr 0.1443 0.9450 0.2887  1 Nd 3.48, 3 Dy 3.50-3.59, 3 Pr 3.57-3.70

* energy of formation: 182.8 kJ/mol of formula units
* E: -49.9 eV for the cell shown
* distance to the lowest polymorph of the same formula: 102.3 meV per atom

Compound: Pr3NdDy
Source: the Alexandria database
Functional: GGA-PBE
Structure: relaxed

Unit cell a=8.2163 b=8.2163 c=6.2844 alpha=90.00 beta=90.00 gamma=59.92
Closest atoms and distances in Å follow each position.
Element x y z (fractional)
Pr 0.1994 0.5978 0.2500  1 Nd 3.26, 3 Pr 3.26-3.27
Pr 0.4022 0.8006 0.7500  1 Nd 3.26, 3 Pr 3.26-3.27
Nd 0.7995 0.7995 0.7500  4 Pr 3.26
Nd 0.2005 0.2005 0.2500  4 Pr 3.26
Pr 0.0000 0.0000 0.5000  6 Pr 3.14-3.26, 2 Nd 3.26
Dy 0.3316 0.3316 0.7500  2 Nd 3.65, 4 Pr 3.67
Pr 0.0000 0.0000 0.0000  6 Pr 3.14-3.26, 2 Nd 3.26
Pr 0.5978 0.1994 0.2500  1 Nd 3.26, 3 Pr 3.26-3.27
Pr 0.8006 0.4022 0.7500  1 Nd 3.26, 3 Pr 3.26-3.27
Dy 0.6684 0.6684 0.2500  2 Nd 3.65, 4 Pr 3.67

* energy of formation: 153.3 kJ/mol of formula units
* E: -44.2 eV for the cell shown
* distance to the lowest polymorph of the same formula: 138.6 meV per atom

Compound: Pr3Nd6Dy
Source: the Alexandria database
Functional: GGA-PBE
Structure: relaxed

Unit cell a=6.5480 b=11.2148 c=11.2148 alpha=120.76 beta=90.00 gamma=90.00
Closest atoms and distances in Å follow each position.
Element x y z (fractional)
Pr 0.0807 0.3845 0.6155  7 Nd 3.51-3.92, 2 Pr 3.68, 1 Dy 3.78
Nd 0.0576 0.3711 0.2875  3 Pr 3.48-3.61, 5 Nd 3.54-3.88
Pr 0.4627 0.2921 0.0580  1 Dy 3.33, 6 Nd 3.36-3.63, 1 Pr 3.68
Dy 0.6127 0.8093 0.1907  2 Pr 3.33, 6 Nd 3.37-3.66
Nd 0.0576 0.7125 0.6289  3 Pr 3.48-3.61, 5 Nd 3.54-3.88
Nd 0.8702 0.4750 0.0582  3 Nd 3.19-3.55, 2 Pr 3.36-3.52, 1 Dy 3.37
Pr 0.9627 0.7079 0.9420  1 Dy 3.33, 6 Nd 3.36-3.63, 1 Pr 3.68
Pr 0.5807 0.6155 0.3845  7 Nd 3.51-3.92, 2 Pr 3.68, 1 Dy 3.78
Nd 0.1506 0.7231 0.2769  4 Nd 3.19-3.55, 1 Dy 3.46, 1 Pr 3.51
Nd 0.3702 0.5250 0.9418  3 Nd 3.19-3.55, 2 Pr 3.36-3.52, 1 Dy 3.37
Nd 0.5576 0.6289 0.7125  3 Pr 3.48-3.61, 5 Nd 3.54-3.88
Dy 0.1127 0.1907 0.8093  2 Pr 3.33, 6 Nd 3.37-3.66
Nd 0.8603 0.0342 0.9658  1 Dy 3.47, 4 Nd 3.54-3.88, 4 Pr 3.59-3.63
Nd 0.3603 0.9658 0.0342  1 Dy 3.47, 4 Nd 3.54-3.88, 4 Pr 3.59-3.63
Nd 0.5576 0.2875 0.3711  3 Pr 3.48-3.61, 5 Nd 3.54-3.88
Pr 0.9627 0.0580 0.2921  1 Dy 3.33, 6 Nd 3.36-3.63, 1 Pr 3.68
Nd 0.6506 0.2769 0.7231  4 Nd 3.19-3.55, 1 Dy 3.46, 1 Pr 3.51
Pr 0.4627 0.9420 0.7079  1 Dy 3.33, 6 Nd 3.36-3.63, 1 Pr 3.68
Nd 0.8702 0.9418 0.5250  3 Nd 3.19-3.55, 2 Pr 3.36-3.52, 1 Dy 3.37
Nd 0.3702 0.0582 0.4750  3 Nd 3.19-3.55, 2 Pr 3.36-3.52, 1 Dy 3.37

* energy of formation: 127.3 kJ/mol of formula units
* E: -92.5 eV for the cell shown
* distance to the lowest polymorph of the same formula: 0.0 meV per atom

Compound: Pr5Nd2Dy2
Source: the Alexandria database
Functional: GGA-PBE
Structure: relaxed

Unit cell a=6.3650 b=6.3652 c=14.2220 alpha=58.42 beta=132.26 gamma=131.87
Closest atoms and distances in Å follow each position.
Element x y z (fractional)
Pr 0.2223 0.3326 0.5552  3 Dy 3.66, 4 Pr 3.66-3.69, 5 Nd 3.67-3.68
Nd 0.6689 0.9990 0.6683  8 Pr 3.65-3.68, 3 Dy 3.66-3.67, 1 Nd 3.70
Dy 0.8901 0.3334 0.2227  9 Pr 3.66-3.68, 3 Nd 3.66-3.67
Nd 0.3311 0.0010 0.3317  8 Pr 3.65-3.68, 3 Dy 3.66-3.67, 1 Nd 3.70
Pr 0.0000 0.0000 0.0000  2 Nd 3.65, 4 Dy 3.67, 6 Pr 3.67
Pr 0.4448 0.6666 0.1111  2 Nd 3.65-3.66, 6 Pr 3.67, 4 Dy 3.67-3.68
Pr 0.5552 0.3334 0.8889  2 Nd 3.65-3.66, 6 Pr 3.67, 4 Dy 3.67-3.68
Dy 0.1099 0.6666 0.7773  9 Pr 3.66-3.68, 3 Nd 3.66-3.67
Pr 0.7777 0.6674 0.4448  3 Dy 3.66, 4 Pr 3.66-3.69, 5 Nd 3.67-3.68

* energy of formation: 13.2 kJ/mol of formula units
* E: -42.5 eV for the cell shown
* distance to the lowest polymorph of the same formula: 0.0 meV per atom

Compound: PrNd7Dy3
Source: the Alexandria database
Functional: GGA-PBE
Structure: relaxed

Unit cell a=8.7153 b=7.2505 c=7.2505 alpha=120.00 beta=90.00 gamma=90.00
Closest atoms and distances in Å follow each position.
Element x y z (fractional)
Nd 0.4579 0.8330 0.6661  2 Dy 3.52, 7 Nd 3.58-3.70, 2 Pr 3.63
Nd 0.4579 0.3339 0.1670  2 Dy 3.52, 7 Nd 3.58-3.70, 2 Pr 3.63
Dy 0.7836 0.5002 0.0004  5 Nd 3.52-3.63, 4 Dy 3.62-3.63, 1 Pr 3.64
Nd 0.1242 0.6667 0.3333  9 Nd 3.58-3.63, 3 Dy 3.63
Dy 0.7836 0.5002 0.4998  5 Nd 3.52-3.63, 4 Dy 3.62-3.63, 1 Pr 3.64
Nd 0.4579 0.8330 0.1670  2 Dy 3.52, 7 Nd 3.58-3.70, 2 Pr 3.63
Nd 0.1082 0.1668 0.3337  2 Dy 3.52, 1 Pr 3.58, 8 Nd 3.62-3.70
Nd 0.1082 0.1668 0.8332  2 Dy 3.52, 1 Pr 3.58, 8 Nd 3.62-3.70
Nd 0.1082 0.6663 0.8332  2 Dy 3.52, 1 Pr 3.58, 8 Nd 3.62-3.70
Dy 0.7836 0.9996 0.4998  5 Nd 3.52-3.63, 4 Dy 3.62-3.63, 1 Pr 3.64
Pr 0.4418 0.3333 0.6667  9 Nd 3.58-3.63, 3 Dy 3.64

* energy of formation: 196.6 kJ/mol of formula units
* E: -49.9 eV for the cell shown
* distance to the lowest polymorph of the same formula: 59.1 meV per atom

Compound: Pr3Nd2Dy2
Source: the Alexandria database
Functional: GGA-PBE
Structure: relaxed

Unit cell a=3.6629 b=10.9645 c=6.3214 alpha=95.64 beta=73.25 gamma=89.97
Closest atoms and distances in Å follow each position.
Element x y z (fractional)
Pr 0.1434 0.4293 0.7161  5 Pr 3.62-3.67, 5 Dy 3.64-3.66, 2 Nd 3.66
Dy 0.4282 0.2859 0.1425  3 Nd 3.64-3.66, 7 Pr 3.64-3.66, 2 Dy 3.66
Nd 0.7160 0.1437 0.5686  5 Pr 3.64-3.68, 3 Dy 3.64-3.66, 4 Nd 3.66-3.67
Pr 0.0000 0.0000 0.0000  6 Nd 3.64-3.68, 4 Dy 3.66, 2 Pr 3.66
Dy 0.5718 0.7141 0.8575  3 Nd 3.64-3.66, 7 Pr 3.64-3.66, 2 Dy 3.66
Pr 0.8566 0.5707 0.2839  5 Pr 3.62-3.67, 5 Dy 3.64-3.66, 2 Nd 3.66
Nd 0.2840 0.8563 0.4314  5 Pr 3.64-3.68, 3 Dy 3.64-3.66, 4 Nd 3.66-3.67

* energy of formation: 7.7 kJ/mol of formula units
* E: -33.0 eV for the cell shown
* distance to the lowest polymorph of the same formula: 0.0 meV per atom

Compound: Pr7Nd5Dy
Source: the Alexandria database
Functional: GGA-PBE
Structure: relaxed

Unit cell a=6.9035 b=8.9691 c=8.9691 alpha=78.73 beta=67.37 gamma=67.37
Closest atoms and distances in Å follow each position.
Element x y z (fractional)
Nd 0.7590 0.7410 0.7410  4 Nd 3.21, 2 Pr 3.36
Nd 0.9943 0.0042 0.5548  2 Nd 3.12-3.21, 2 Pr 3.47-3.48
Pr 0.4831 0.8483 0.1855  5 Nd 3.48-3.83, 5 Pr 3.50-3.84
Pr 0.4831 0.1855 0.8483  5 Nd 3.48-3.83, 5 Pr 3.50-3.84
Pr 0.9783 0.3390 0.7044  5 Nd 3.36-3.66, 1 Dy 3.68
Pr 0.9783 0.7044 0.3390  5 Nd 3.36-3.66, 1 Dy 3.68
Nd 0.4467 0.5548 0.0042  2 Nd 3.12-3.21, 2 Pr 3.47-3.48
Nd 0.9943 0.5548 0.0042  2 Nd 3.12-3.21, 2 Pr 3.47-3.48
Pr 0.2401 0.2599 0.2599  6 Pr 3.45-3.77, 4 Nd 3.51
Dy 0.0387 0.9613 0.9613  7 Pr 3.68-4.01, 4 Nd 3.71
Nd 0.4467 0.0042 0.5548  2 Nd 3.12-3.21, 2 Pr 3.47-3.48
Pr 0.7328 0.2672 0.2672  3 Pr 3.45-3.71, 4 Nd 3.66, 1 Dy 3.68
Pr 0.4247 0.5753 0.5753  7 Pr 3.71-4.08, 6 Nd 3.87-3.99

* energy of formation: 272.2 kJ/mol of formula units
* E: -59.1 eV for the cell shown

Compound: Pr5Nd3Dy3
Source: the Alexandria database
Functional: GGA-PBE
Structure: relaxed

Unit cell a=3.4780 b=11.4787 c=11.4787 alpha=120.00 beta=90.00 gamma=90.00
Closest atoms and distances in Å follow each position.
Element x y z (fractional)
Pr 0.5000 0.6627 0.6627  2 Dy 3.35, 2 Nd 3.46, 2 Pr 3.48
Dy 0.5000 0.8414 0.0000  4 Dy 3.15-3.48, 2 Nd 3.29, 2 Pr 3.35
Pr 0.5000 0.6667 0.3333  5 Pr 3.48-3.80
Nd 0.0000 0.5981 0.0000  2 Dy 3.29, 2 Pr 3.46, 2 Nd 3.48
Dy 0.5000 0.0000 0.8414  4 Dy 3.15-3.48, 2 Nd 3.29, 2 Pr 3.35
Pr 0.5000 0.0000 0.3373  2 Dy 3.35, 2 Nd 3.46, 2 Pr 3.48
Pr 0.5000 0.3373 0.0000  2 Dy 3.35, 2 Nd 3.46, 2 Pr 3.48
Pr 0.5000 0.3333 0.6667  5 Pr 3.48-3.80
Nd 0.0000 0.0000 0.5981  2 Dy 3.29, 2 Pr 3.46, 2 Nd 3.48
Dy 0.5000 0.1586 0.1586  4 Dy 3.15-3.48, 2 Nd 3.29, 2 Pr 3.35
Nd 0.0000 0.4019 0.4019  2 Dy 3.29, 2 Pr 3.46, 2 Nd 3.48

* energy of formation: 320.3 kJ/mol of formula units
* E: -48.7 eV for the cell shown